(1)
## Y2In3Ag (GGA-PBE)

Data for a geometry-optimized Y2In3Ag structure.

## Properties
DFT formation energy ... -0.435 eV per atom
Relative energy among the computed polymorphs ... 0.0000 eV per atom
Density of states at the Fermi level ... 4.00 states/eV/f.u.
Crystal system ... orthorhombic

a = 3.577 Å, b = 4.894 Å, c = 8.483 Å
α = 90.00°, β = 90.00°, γ = 90.00°
Positions (direct):
Y: 0.000 0.000 0.000
Y: 0.000 0.500 0.496
In: 0.500 0.000 0.653
In: 0.500 0.500 0.174
In: 0.500 0.500 0.834
Ag: 0.500 0.000 0.326



(2)
## MoIr2 (GGA-PBE)

Data for a geometry-optimized MoIr2 structure.

## Properties
DFT formation energy ... -0.215 eV per atom
Density of states at the Fermi level ... 2.53 states/eV/f.u.
Crystal system ... tetragonal

a = 6.150 Å, b = 6.150 Å, c = 6.150 Å
α = 153.98°, β = 153.98°, γ = 37.13°
Positions (direct):
Mo: 0.000 0.000 0.000
Ir: 0.337 0.337 0.000
Ir: 0.663 0.663 0.000



(3)
## Rb2NbSbPd (GGA-PBE)

Data for a geometry-optimized Rb2NbSbPd structure.

## Properties
Density of states at the Fermi level ... 3.68 states/eV/f.u.
Crystal system ... tetragonal
Raw total energy ... -3.39 eV per atom

a = 6.213 Å, b = 6.213 Å, c = 5.107 Å
α = 90.00°, β = 90.00°, γ = 90.00°
Positions (direct):
Rb: 0.000 0.500 0.000
Rb: 0.500 0.000 0.000
Nb: 0.000 0.000 0.500
Sb: 0.500 0.500 0.500
Pd: 0.500 0.500 0.000



(4)
## ThNb2C (GGA-PBE)

Data for a geometry-optimized ThNb2C structure.

## Properties
DFT formation energy ... 0.046 eV per atom
Density of states at the Fermi level ... 4.95 states/eV/f.u.
Crystal system ... trigonal

a = 8.616 Å, b = 8.616 Å, c = 8.616 Å
α = 21.58°, β = 21.58°, γ = 21.58°
Positions (direct):
Th: 0.000 0.000 0.000
Nb: 0.120 0.120 0.120
Nb: 0.880 0.880 0.880
C: 0.500 0.500 0.500



(5)
## Mn2SbAuSe (GGA-PBE)

Data for a geometry-optimized Mn2SbAuSe structure.

## Properties
Relative energy among the computed polymorphs ... 0.0000 eV per atom
Density of states at the Fermi level ... 4.70 states/eV/f.u.
Crystal system ... tetragonal

a = 5.012 Å, b = 5.012 Å, c = 5.056 Å
α = 90.00°, β = 90.00°, γ = 90.00°
Positions (direct):
Mn: 0.000 0.500 0.000
Mn: 0.500 0.000 0.000
Sb: 0.000 0.000 0.500
Au: 0.500 0.500 0.000
Se: 0.500 0.500 0.500



(6)
## Cu2IrS4 (GGA-PBE)

Data for a geometry-optimized Cu2IrS4 structure.

## Properties
Relative energy among the computed polymorphs ... 0.0000 eV per atom
Density of states at the Fermi level ... 6.24 states/eV/f.u.
Crystal system ... orthorhombic

a = 7.011 Å, b = 7.011 Å, c = 7.011 Å
α = 121.51°, β = 119.45°, γ = 89.18°
Positions (direct):
Cu: 0.000 0.000 0.500
Cu: 0.000 0.500 0.000
Cu: 0.392 0.142 0.250
Cu: 0.608 0.858 0.750
Ir: 0.000 0.500 0.500
Ir: 0.500 0.500 0.000
S: 0.211 0.737 0.474
S: 0.237 0.263 0.974
S: 0.255 0.276 0.521
S: 0.255 0.734 0.979
S: 0.745 0.266 0.021
S: 0.745 0.724 0.479
S: 0.763 0.737 0.026
S: 0.789 0.263 0.526



(7)
## DyTmPd2 (GGA-PBE)

Data for a geometry-optimized DyTmPd2 structure.

## Properties
DFT formation energy ... -0.916 eV per atom
Relative energy among the computed polymorphs ... 0.0204 eV per atom
Density of states at the Fermi level ... 2.58 states/eV/f.u.
Crystal system ... cubic

a = 4.936 Å, b = 4.936 Å, c = 4.936 Å
α = 60.00°, β = 60.00°, γ = 60.00°
Positions (direct):
Dy: 0.000 0.000 0.000
Tm: 0.500 0.500 0.500
Pd: 0.250 0.250 0.250
Pd: 0.750 0.750 0.750



(8)
## HgW (GGA-PBE)

Data for a geometry-optimized HgW structure.

## Properties
DFT formation energy ... 0.567 eV per atom
Relative energy among the computed polymorphs ... 0.0623 eV per atom
Density of states at the Fermi level ... 1.92 states/eV/f.u.
Crystal system ... hexagonal

a = 2.867 Å, b = 2.867 Å, c = 17.027 Å
α = 90.00°, β = 90.00°, γ = 120.00°
Positions (direct):
Hg: 0.000 0.000 0.000
Hg: 0.333 0.667 0.204
Hg: 0.333 0.667 0.796
W: 0.000 0.000 0.361
W: 0.000 0.000 0.639
W: 0.333 0.667 0.500